A relaxed CrFeSe2 crystal, computed with GGA-PBEsol.

Cell and atoms, written as POSCAR:
```
CrFeSe2
1.0
5.921 0.000 0.000
0.000 5.921 0.000
0.000 0.000 5.921
Cr Fe Se
4 4 8
Cartesian
0.000 0.000 0.000
0.000 2.960 2.960
2.960 0.000 2.960
2.960 2.960 0.000
0.000 0.000 2.960
0.000 2.960 0.000
2.960 0.000 0.000
2.960 2.960 2.960
1.480 1.480 1.480
1.480 1.480 4.440
1.480 4.440 1.480
1.480 4.440 4.440
4.440 1.480 1.480
4.440 1.480 4.440
4.440 4.440 1.480
4.440 4.440 4.440
```

Properties
The value obtained for the total magnetization is 0.0 μB per cell. Its volume is 13.0 Å³/atom. The total energy comes out at -6.555 eV/atom. The raw formation energy comes out at 17 kJ per mole of atoms.